Record 1
Density functional theory data (GGA-PBE) for a relaxed Rb3Mg4 crystal.

Lattice parameters (Å, degrees): 18.5253 18.5253 18.5253 167.12 167.12 18.26
With the nearest neighbours (Å) after each atom.
Fractional coordinates of all 7 atoms:
Mg: 0.8890 0.8890 0.0000  4 Mg 3.14
Mg: 0.1110 0.1110 0.0000  4 Mg 3.14
Mg: 0.5806 0.5806 0.0000  4 Mg 3.14
Rb: 0.0000 0.0000 0.0000  10 Mg 4.06-4.16, 4 Rb 4.16
Rb: 0.3111 0.3111 0.0000  5 Mg 3.96-4.09, 4 Rb 4.16
Rb: 0.6889 0.6889 0.0000  5 Mg 3.96-4.09, 4 Rb 4.16
Mg: 0.4194 0.4194 0.0000  4 Mg 3.14

Summary:
* DOS(E_F): 4.167 states/eV per cell
* space-group type: I4/mmm

---

Record 2
Density functional theory data (GGA-PBE) for a relaxed Rb3Mg crystal.

Lattice parameters (Å, degrees): 7.4187 7.4187 7.4187 126.07 126.07 79.78
With the nearest neighbours (Å) after each atom.
Fractional coordinates of all 4 atoms:
Rb: 0.2500 0.7500 0.5000  4 Mg 4.41, 8 Rb 4.41-4.76
Mg: 0.0000 0.0000 0.0000  12 Rb 4.41-4.76
Rb: 0.5000 0.5000 0.0000  8 Rb 4.41, 4 Mg 4.76
Rb: 0.7500 0.2500 0.5000  4 Mg 4.41, 8 Rb 4.41-4.76

Summary:
* DOS(E_F): 2.964 states/eV per cell
* space-group type: I4/mmm

---

Record 3
Density functional theory data (GGA-PBE) for a relaxed Rb4Mg3 crystal.

Lattice parameters (Å, degrees): 7.1610 7.1610 8.0542 90.00 90.00 120.00
With the nearest neighbours (Å) after each atom.
Fractional coordinates of all 7 atoms:
Rb: 0.3333 0.6667 0.5000  3 Rb 4.13, 6 Mg 4.53
Mg: 0.0000 0.5000 0.0000  4 Mg 3.58
Mg: 0.5000 0.0000 0.0000  4 Mg 3.58
Rb: 0.6667 0.3333 0.5000  3 Rb 4.13, 6 Mg 4.53
Rb: 0.0000 0.0000 0.7648  1 Rb 3.79, 6 Mg 4.05
Mg: 0.5000 0.5000 0.0000  4 Mg 3.58
Rb: 0.0000 0.0000 0.2352  1 Rb 3.79, 6 Mg 4.05

Summary:
* DOS(E_F): 5.528 states/eV per cell
* space-group type: P6/mmm

---

Record 4
Density functional theory data (GGA-PBE) for a relaxed RbMg3 crystal.

Lattice parameters (Å, degrees): 3.4813 3.4813 11.7640 90.00 90.00 120.00
With the nearest neighbours (Å) after each atom.
Fractional coordinates of all 4 atoms:
Mg: 0.0000 0.0000 0.5000  12 Mg 3.23-3.48
Rb: 0.0000 0.0000 0.0000  6 Rb 3.48
Mg: 0.3333 0.6667 0.2849  9 Mg 3.23-3.48
Mg: 0.3333 0.6667 0.7151  9 Mg 3.23-3.48

Summary:
* DOS(E_F): 3.480 states/eV per cell
* space-group type: P-6m2

---

Record 5
Density functional theory data (GGA-PBE) for a relaxed RbMg2Re crystal.

Lattice parameters (Å, degrees): 5.1459 5.1459 5.1459 60.00 60.00 60.00
With the nearest neighbours (Å) after each atom.
Fractional coordinates of all 4 atoms:
Re: 0.5000 0.5000 0.5000  8 Mg 3.15
Rb: 0.0000 0.0000 0.0000  8 Mg 3.15
Mg: 0.2500 0.2500 0.2500  4 Re 3.15, 4 Rb 3.15
Mg: 0.7500 0.7500 0.7500  4 Re 3.15, 4 Rb 3.15

Summary:
* DOS(E_F): 1.562 states/eV per cell
* space-group type: Fm-3m

---

Record 6
Density functional theory data (GGA-PBE) for a relaxed RbMgRe crystal.

Lattice parameters (Å, degrees): 12.9273 4.3817 7.5827 90.00 90.28 90.00
With the nearest neighbours (Å) after each atom.
Fractional coordinates of all 12 atoms:
Re: 0.4673 0.0000 0.5354  3 Re 2.56, 4 Mg 2.71-2.86
Re: 0.4989 0.5000 0.3692  3 Re 2.56, 3 Mg 2.69
Re: 0.4989 0.0000 0.8692  3 Re 2.56, 3 Mg 2.69
Re: 0.4673 0.5000 0.0354  3 Re 2.56, 4 Mg 2.71-2.86
Mg: 0.5700 0.0000 0.2033  6 Re 2.69-2.86, 3 Mg 2.88
Rb: 0.2684 0.0000 0.2005  6 Re 3.61-3.91, 1 Mg 3.90
Rb: 0.9102 0.5000 0.3740  3 Mg 3.93-3.94, 6 Rb 4.38
Mg: 0.6768 0.0000 0.5371  1 Re 2.71, 3 Mg 2.88
Rb: 0.9102 0.0000 0.8740  3 Mg 3.93-3.94, 6 Rb 4.38
Rb: 0.2684 0.5000 0.7005  6 Re 3.61-3.91, 1 Mg 3.90
Mg: 0.6768 0.5000 0.0371  1 Re 2.71, 3 Mg 2.88
Mg: 0.5700 0.5000 0.7033  6 Re 2.69-2.86, 3 Mg 2.88

Summary:
* DOS(E_F): 4.627 states/eV per cell
* space-group type: Cm

---

Record 7
Density functional theory data (GGA-PBE) for a relaxed RbMg3Re crystal.

Lattice parameters (Å, degrees): 5.3241 5.3241 5.3241 90.00 90.00 90.00
With the nearest neighbours (Å) after each atom.
Fractional coordinates of all 5 atoms:
Re: 0.0000 0.0000 0.0000  6 Mg 2.66
Mg: 0.0000 0.5000 0.0000  2 Re 2.66
Rb: 0.5000 0.5000 0.5000  12 Mg 3.76
Mg: 0.0000 0.0000 0.5000  2 Re 2.66
Mg: 0.5000 0.0000 0.0000  2 Re 2.66

Summary:
* DOS(E_F): 5.774 states/eV per cell
* space-group type: Pm-3m

---

Record 8
Density functional theory data (GGA-PBE) for a relaxed Rb3MgRe crystal.

Lattice parameters (Å, degrees): 6.7323 6.7323 6.7323 90.00 90.00 90.00
With the nearest neighbours (Å) after each atom.
Fractional coordinates of all 5 atoms:
Rb: 0.0000 0.5000 0.0000  2 Re 3.37
Re: 0.0000 0.0000 0.0000  6 Rb 3.37
Rb: 0.0000 0.0000 0.5000  2 Re 3.37
Rb: 0.5000 0.0000 0.0000  2 Re 3.37
Mg: 0.5000 0.5000 0.5000  12 Rb 4.76

Summary:
* DOS(E_F): 11.997 states/eV per cell
* space-group type: Pm-3m

---

Record 9
Density functional theory data (GGA-PBE) for a relaxed RbMgRe crystal.

Lattice parameters (Å, degrees): 3.1910 4.2210 13.9701 90.13 95.43 90.00
With the nearest neighbours (Å) after each atom.
Fractional coordinates of all 6 atoms:
Rb: 0.8534 0.2481 0.1591  2 Rb 3.19
Re: 0.0173 0.7504 0.5446  2 Re 2.45
Mg: 0.4469 0.7488 0.3695  6 Re 2.90-2.91, 2 Mg 3.19
Rb: 0.1466 0.7519 0.8409  2 Rb 3.19
Mg: 0.5531 0.2512 0.6305  6 Re 2.90-2.91, 2 Mg 3.19
Re: 0.9827 0.2496 0.4554  2 Re 2.45

Summary:
* DOS(E_F): 4.793 states/eV per cell
* space-group type: P-1

---

Record 10
Density functional theory data (GGA-PBE) for a relaxed RbMgRe crystal.

Lattice parameters (Å, degrees): 3.7761 5.2632 12.2336 99.87 90.46 110.90
With the nearest neighbours (Å) after each atom.
Fractional coordinates of all 6 atoms:
Rb: 0.8851 0.1907 0.7576  3 Mg 3.72-3.87, 2 Rb 3.78, 2 Re 3.96
Mg: 0.6121 0.6676 0.3586  4 Re 2.69-2.98, 2 Mg 2.98
Re: 0.8874 0.2155 0.3589  2 Re 2.37
Re: 0.3732 0.1811 0.4723  2 Re 2.37
Rb: 0.2101 0.8723 0.1158  2 Re 3.66, 2 Rb 3.78, 2 Mg 3.81-3.82
Mg: 0.1045 0.6432 0.5453  4 Re 2.80-2.96, 2 Mg 2.98

Summary:
* DOS(E_F): 4.785 states/eV per cell
* space-group type: P1

---

Record 11
Density functional theory data (GGA-PBE) for a relaxed RbMgRe crystal.

Lattice parameters (Å, degrees): 4.4841 3.7781 13.1265 90.00 99.48 90.00
With the nearest neighbours (Å) after each atom.
Fractional coordinates of all 6 atoms:
Rb: 0.8368 0.4209 0.1666  1 Re 3.61, 2 Rb 3.78
Re: 0.0263 0.8956 0.5547  2 Re 2.36
Rb: 0.1632 0.9209 0.8334  1 Re 3.61, 2 Rb 3.78
Re: 0.9737 0.3956 0.4453  2 Re 2.36
Mg: 0.5442 0.3973 0.5925  6 Re 2.94-2.98, 2 Mg 3.05
Mg: 0.4558 0.8973 0.4075  6 Re 2.94-2.98, 2 Mg 3.05

Summary:
* DOS(E_F): 4.957 states/eV per cell
* space-group type: P2_1

---

Record 12
Density functional theory data (GGA-PBE) for a relaxed RbMg2Re crystal.

Lattice parameters (Å, degrees): 5.8260 5.8260 10.0816 73.21 73.21 90.00
With the nearest neighbours (Å) after each atom.
Fractional coordinates of all 8 atoms:
Mg: 0.3750 0.1251 0.7500  2 Re 2.72, 2 Mg 2.91
Re: 0.0000 0.0000 0.0000  4 Mg 2.72
Mg: 0.8749 0.1250 0.2500  2 Re 2.72, 2 Mg 2.91
Re: 0.7500 0.2500 0.5000  4 Mg 2.72
Rb: 0.5000 0.5000 0.0000  8 Mg 3.99, 4 Re 4.12
Rb: 0.2500 0.7500 0.5000  8 Mg 3.99, 4 Re 4.12
Mg: 0.8751 0.6250 0.2500  2 Re 2.72, 2 Mg 2.91
Mg: 0.8750 0.1249 0.7500  2 Re 2.72, 2 Mg 2.91

Summary:
* DOS(E_F): 6.374 states/eV per cell
* space-group type: I4_1/amd

---

Record 13
Density functional theory data (GGA-PBE) for a relaxed RbMg2Re2 crystal.

Lattice parameters (Å, degrees): 8.8060 8.8060 2.7484 90.00 90.00 90.00
With the nearest neighbours (Å) after each atom.
Fractional coordinates of all 10 atoms:
Re: 0.0983 0.5983 0.5000  1 Re 2.45
Re: 0.5983 0.9017 0.5000  1 Re 2.45
Rb: 0.0000 0.0000 0.0000  2 Rb 2.75
Mg: 0.1819 0.3181 0.0000  2 Mg 2.75, 6 Re 2.92-3.06
Rb: 0.5000 0.5000 0.0000  2 Rb 2.75
Re: 0.9017 0.4017 0.5000  1 Re 2.45
Mg: 0.8181 0.6819 0.0000  2 Mg 2.75, 6 Re 2.92-3.06
Re: 0.4017 0.0983 0.5000  1 Re 2.45
Mg: 0.6819 0.1819 0.0000  2 Mg 2.75, 6 Re 2.92-3.06
Mg: 0.3181 0.8181 0.0000  2 Mg 2.75, 6 Re 2.92-3.06

Summary:
* DOS(E_F): 6.046 states/eV per cell
* space-group type: P4/mbm

---

no.,E_form (eV/atom)
1,0.202
2,0.172
3,0.224
4,0.288
5,1.200
6,0.506
7,0.747
8,1.476
9,0.559
10,0.578
11,0.522
12,1.316
13,0.725